# 1
In3BrCl5: optimized geometry, GGA-PBE.

Values from the calculation:
ρ = 3.4 g cm⁻³
uncorrected energy = -110.21 eV per cell

Cell: 9.6213 30.7994 4.0144 Å, 90.00 90.00 90.00°
Last column: nearest neighbours and their distance in Å.
Space group Cmmm (No. 65)
Asymmetric unit:
In 0.0000 0.0000 0.0000 [2 per cell]  6 Cl 2.48-2.65
In 0.0000 0.1657 0.5000 [4 per cell]  6 Cl 3.08-3.37
In 0.0000 0.3278 0.0000 [4 per cell]  4 Cl 2.49-2.64, 2 Br 2.78
In 0.0000 0.5000 0.5000 [2 per cell]  4 Cl 3.08, 2 Br 3.38
Br 0.0000 0.3901 0.5000 [4 per cell]  2 In 2.78
Cl 0.0000 0.0562 0.5000 [4 per cell]  2 In 2.65
Cl 0.0000 0.2721 0.5000 [4 per cell]  2 In 2.64
Cl 0.2415 0.1738 0.0000 [8 per cell]  1 In 2.49
Cl 0.2424 0.5000 0.0000 [4 per cell]  1 In 2.48

# 2
K3RhF5: optimized geometry, GGA-PBE.

Values from the calculation:
ρ = 3.1 g cm⁻³
uncorrected energy = -155.42 eV per cell

Cell: 7.1991 7.1991 13.1299 Å, 90.00 90.00 90.00°
Last column: nearest neighbours and their distance in Å.
Space group I4/mcm (No. 140)
Asymmetric unit:
K 0.0000 0.0000 0.2500 [4 per cell]  10 F 3.05-3.28
K 0.1733 0.3267 0.0000 [8 per cell]  4 F 2.59-2.66
Rh 0.0000 0.5000 0.2500 [4 per cell]  4 F 2.09
F 0.0000 0.0000 0.0000 [4 per cell]  4 K 2.66
F 0.1556 0.3444 0.3542 [16 per cell]  1 Rh 2.09

# 3
Zn2CrFe2: optimized geometry, GGA-PBE.

Values from the calculation:
ρ = 7.6 g cm⁻³
uncorrected energy = -54.68 eV per cell
energy above the most stable polymorph in this dataset = 0 meV/atom
formation enthalpy at 0 K = 0.3515 eV/atom

Cell: 5.7054 5.7054 3.9630 Å, 90.00 90.00 90.00°
Last column: nearest neighbours and their distance in Å.
Space group P4/mbm (No. 127)
Asymmetric unit:
Zn 0.1718 0.3282 0.0000 [4 per cell]  6 Fe 2.52-2.65, 1 Zn 2.77
Cr 0.0000 0.0000 0.5000 [2 per cell]  4 Fe 2.22
Fe 0.1345 0.6345 0.5000 [4 per cell]  1 Fe 2.17, 2 Cr 2.22

# 4
BaTl2Rh: optimized geometry, GGA-PBE.

Values from the calculation:
ρ = 10.0 g cm⁻³
uncorrected energy = -28.02 eV per cell
formation enthalpy at 0 K = -0.0009 eV/atom

Cell: 4.8249 4.8249 9.3016 Å, 90.00 90.00 90.00°
Last column: nearest neighbours and their distance in Å.
Space group I4/mmm (No. 139)
Asymmetric unit:
Ba 0.0000 0.0000 0.0000 [2 per cell]  8 Tl 3.35, 4 Rh 3.41
Tl 0.0000 0.5000 0.2500 [4 per cell]  4 Ba 3.35, 4 Rh 3.35, 4 Tl 3.41
Rh 0.0000 0.0000 0.5000 [2 per cell]  8 Tl 3.35, 4 Ba 3.41

Question: Which of these has the lowest uncorrected energy?
Answer: K3RhF5

Question: The highest uncorrected energy belongs to which entry?
Answer: BaTl2Rh